First-principles (GGA-PBE) data for a relaxed KPt2S crystal, as listed in Alexandria.

Cell lengths 5.4246, 5.4246, 8.2467 Å; angles 70.80, 70.80, 90.00 degrees
Last column: nearest neighbours and their distance in Å.
Fractional coordinates of all 8 atoms:
Pt 0.3758 0.6250 0.2500  2 S 2.27
Pt 0.8750 0.6242 0.7500  2 S 2.27
Pt 0.3750 0.6258 0.7500  2 S 2.27
Pt 0.3742 0.1250 0.2500  2 S 2.27
K 0.0000 0.0000 0.0000  8 Pt 3.54, 4 S 3.84
K 0.7500 0.2500 0.5000  8 Pt 3.54, 4 S 3.84
S 0.5000 0.5000 0.0000  4 Pt 2.27
S 0.2500 0.7500 0.5000  4 Pt 2.27

Space group: I4_1/amd, No. 141
Crystal system: tetragonal
Raw total energy: -4.823 eV per atom



First-principles (GGA-PBE) data for a relaxed Rh5Au crystal, as listed in Alexandria.

Cell lengths 7.3175, 7.3175, 4.5061 Å; angles 90.00, 90.00, 158.34 degrees
Last column: nearest neighbours and their distance in Å.
Fractional coordinates of all 6 atoms:
Rh 0.3293 0.6707 0.0000  10 Rh 2.66-2.76, 2 Au 2.80
Rh 0.6708 0.3292 0.0000  10 Rh 2.66-2.76, 2 Au 2.82
Rh 0.2219 0.7781 0.5000  12 Rh 2.71-2.75
Rh 0.8860 0.1140 0.5000  10 Rh 2.73-2.85, 2 Au 2.78
Rh 0.5595 0.4405 0.5000  8 Rh 2.71-2.85, 4 Au 2.78
Au 0.9991 0.0009 0.0000  2 Au 2.75, 10 Rh 2.78-2.82

Energy above the lowest structure with this stoichiometry: 20 meV/atom
Space group: Amm2, No. 38
Energy of formation: 3.2 kcal/mol of atoms
Crystal system: orthorhombic
Raw total energy: -6.533 eV per atom



First-principles (GGA-PBE) data for a relaxed RbAgBr3 crystal, as listed in Alexandria.

Cell lengths 5.1183, 5.1183, 16.8357 Å; angles 90.00, 90.00, 120.00 degrees
Last column: nearest neighbours and their distance in Å.
Fractional coordinates of all 10 atoms:
Br 0.3333 0.6667 0.9002  1 Ag 2.53
Br 0.0000 0.0000 0.2500  3 Ag 2.96
Br 0.6667 0.3333 0.0998  1 Ag 2.53
Br 0.3333 0.6667 0.5998  1 Ag 2.53
Br 0.0000 0.0000 0.7500  3 Ag 2.96
Br 0.6667 0.3333 0.4002  1 Ag 2.53
Rb 0.0000 0.0000 0.5000  6 Br 3.40
Rb 0.0000 0.0000 0.0000  6 Br 3.40
Ag 0.3333 0.6667 0.7500  2 Br 2.53
Ag 0.6667 0.3333 0.2500  2 Br 2.53

Space group: P6_3/mmc, No. 194
Crystal system: hexagonal
Raw total energy: -2.554 eV per atom



First-principles (GGA-PBE) data for a relaxed Dy2O3 crystal, as listed in Alexandria.

Cell lengths 3.3247, 8.8675, 8.8908 Å; angles 90.00, 90.00, 90.00 degrees
Last column: nearest neighbours and their distance in Å.
Fractional coordinates of all 20 atoms:
Dy 0.7500 0.0105 0.1866  7 O 2.32-2.50
Dy 0.2500 0.9895 0.8134  7 O 2.32-2.50
Dy 0.7500 0.6855 0.0041  7 O 2.27-2.40
Dy 0.2500 0.5105 0.3134  7 O 2.32-2.50
Dy 0.2500 0.1855 0.4959  7 O 2.27-2.40
Dy 0.2500 0.3145 0.9959  7 O 2.27-2.40
Dy 0.7500 0.8145 0.5041  7 O 2.27-2.40
Dy 0.7500 0.4895 0.6866  7 O 2.32-2.50
O 0.7500 0.0574 0.6146  5 Dy 2.27-2.50
O 0.7500 0.6883 0.2735  4 Dy 2.32-2.40
O 0.7500 0.4426 0.1146  5 Dy 2.27-2.50
O 0.2500 0.8721 0.0461  5 Dy 2.32-2.41
O 0.2500 0.1883 0.2265  4 Dy 2.32-2.40
O 0.7500 0.1279 0.9539  5 Dy 2.32-2.41
O 0.2500 0.9426 0.3854  5 Dy 2.27-2.50
O 0.2500 0.3117 0.7265  4 Dy 2.32-2.40
O 0.2500 0.5574 0.8854  5 Dy 2.27-2.50
O 0.7500 0.8117 0.7735  4 Dy 2.32-2.40
O 0.2500 0.6279 0.5461  5 Dy 2.32-2.41
O 0.7500 0.3721 0.4539  5 Dy 2.32-2.41

Space group: Pnma, No. 62
Crystal system: orthorhombic
Raw total energy: -8.272 eV per atom



First-principles (GGA-PBE) data for a relaxed Pr2Sm3Ho6Pb crystal, as listed in Alexandria.

Cell lengths 6.1457, 6.1457, 11.7939 Å; angles 95.01, 95.01, 120.01 degrees
Last column: nearest neighbours and their distance in Å.
Fractional coordinates of all 12 atoms:
Sm 0.8323 0.1677 0.5000  6 Sm 3.54-3.57, 6 Ho 3.55-3.58
Sm 0.1677 0.8323 0.5000  6 Sm 3.54-3.57, 6 Ho 3.55-3.58
Sm 0.5000 0.5000 0.5000  6 Sm 3.54-3.55, 6 Ho 3.55-3.58
Ho 0.7565 0.7565 0.2500  6 Ho 3.47-3.59, 1 Pb 3.53, 3 Sm 3.55-3.58, 2 Pr 3.56
Ho 0.4088 0.0824 0.2490  6 Ho 3.47-3.59, 1 Pb 3.52, 3 Sm 3.55-3.58, 2 Pr 3.56
Ho 0.2435 0.2435 0.7500  6 Ho 3.47-3.59, 1 Pb 3.53, 3 Sm 3.55-3.58, 2 Pr 3.56
Ho 0.5912 0.9176 0.7510  6 Ho 3.47-3.59, 1 Pb 3.52, 3 Sm 3.55-3.58, 2 Pr 3.56
Ho 0.0824 0.4088 0.2490  6 Ho 3.47-3.59, 1 Pb 3.52, 3 Sm 3.55-3.58, 2 Pr 3.56
Ho 0.9176 0.5912 0.7510  6 Ho 3.47-3.59, 1 Pb 3.52, 3 Sm 3.55-3.58, 2 Pr 3.56
Pr 0.6662 0.3338 0.0000  3 Pr 3.54-3.55, 3 Pb 3.55, 6 Ho 3.56
Pr 0.3338 0.6662 0.0000  3 Pr 3.54-3.55, 3 Pb 3.55, 6 Ho 3.56
Pb 0.0000 0.0000 0.0000  6 Ho 3.52-3.53, 6 Pr 3.55

Space group: C2/m, No. 12
Energy of formation: -1.6 kcal/mol of atoms
Crystal system: monoclinic
Raw total energy: -4.644 eV per atom



First-principles (GGA-PBE) data for a relaxed LaCuP2 crystal, as listed in Alexandria.

Cell lengths 3.8245, 3.8245, 6.4057 Å; angles 90.00, 90.00, 116.53 degrees
Last column: nearest neighbours and their distance in Å.
Fractional coordinates of all 4 atoms:
P 0.0000 0.0000 0.0644  2 Cu 2.34, 1 P 2.38
P 0.0000 0.0000 0.4356  2 Cu 2.34, 1 P 2.38
La 0.5000 0.5000 0.7500  4 P 2.85
Cu 0.5000 0.5000 0.2500  4 P 2.34

Space group: Cmmm, No. 65
Energy of formation: -10.8 kcal/mol of atoms
Crystal system: orthorhombic
Raw total energy: -5.428 eV per atom



First-principles (GGA-PBE) data for a relaxed PrSi2Ir3 crystal, as listed in Alexandria.

Cell lengths 4.0282, 8.2960, 9.8808 Å; angles 107.42, 90.00, 104.05 degrees
Last column: nearest neighbours and their distance in Å.
Fractional coordinates of all 18 atoms:
Ir 0.5000 0.0000 0.5000  4 Si 2.43-2.61
Ir 0.2195 0.4391 0.3939  4 Si 2.34-2.55
Ir 0.7805 0.5609 0.6061  4 Si 2.34-2.55
Ir 0.6252 0.2504 0.2024  4 Si 2.37-2.62
Ir 0.0434 0.0869 0.3334  4 Si 2.43-2.57, 1 Ir 2.71
Ir 0.9566 0.9131 0.6666  4 Si 2.43-2.57, 1 Ir 2.71
Ir 0.3250 0.6500 0.0423  4 Si 2.44-2.58
Ir 0.6750 0.3500 0.9577  4 Si 2.44-2.58
Ir 0.3748 0.7496 0.7976  4 Si 2.37-2.62
Si 0.1981 0.3961 0.1288  6 Ir 2.45-2.58
Si 0.6381 0.2761 0.4478  7 Ir 2.34-2.57
Si 0.4673 0.9347 0.2247  5 Ir 2.43-2.62
Si 0.8019 0.6039 0.8712  6 Ir 2.45-2.58
Si 0.5327 0.0653 0.7753  5 Ir 2.43-2.62
Si 0.3619 0.7239 0.5522  7 Ir 2.34-2.57
Pr 0.0000 0.0000 0.0000  6 Si 3.05-3.16, 6 Ir 3.10-3.15
Pr 0.1577 0.3154 0.6997  6 Si 3.10-3.14, 9 Ir 3.15-3.46
Pr 0.8423 0.6846 0.3003  6 Si 3.10-3.14, 9 Ir 3.15-3.46

Space group: C2/m, No. 12
Crystal system: monoclinic
Raw total energy: -7.894 eV per atom



First-principles (GGA-PBE) data for a relaxed Mn2CrH crystal, as listed in Alexandria.

Cell lengths 2.5524, 2.5524, 6.4148 Å; angles 78.52, 78.52, 60.00 degrees
Last column: nearest neighbours and their distance in Å.
Fractional coordinates of all 4 atoms:
Mn 0.2751 0.2751 0.1748  3 H 1.85
Mn 0.0577 0.0577 0.8270  3 H 1.81
H 0.6679 0.6679 0.9962  6 Mn 1.81-1.85
Cr 0.4993 0.4993 0.5020  6 Mn 2.51-2.52, 6 Cr 2.55

Energy above the lowest structure with this stoichiometry: 25 meV/atom
Space group: R3m, No. 160
Crystal system: trigonal
Raw total energy: -7.753 eV per atom



Q: Which of these has the highest raw total energy?
A: RbAgBr3